Entry 1:
CaNi3Mo after structural relaxation, computed with GGA-PBE.

Output
formation energy = 0.638 eV/atom
electronic total energy = -5.40 eV per atom
energy above the lowest structure with this stoichiometry = 0.000 eV/atom
spin magnetization = 0.00 μB/f.u.
calculated volume = 96.1 Å³/cell
space group = No. 221

abc: 4.581 4.581 4.581
angles: 90.00 90.00 90.00
Sites, in units of the cell vectors:
Ni 0.000 0.000 0.500
Ni 0.000 0.500 0.000
Ni 0.500 0.000 0.000
Mo 0.000 0.000 0.000
Ca 0.500 0.500 0.500

***

Entry 2:
Ca2NiMo after structural relaxation, computed with GGA-PBE.

Output
formation energy = 0.886 eV/atom
electronic total energy = -4.27 eV per atom
energy above the lowest structure with this stoichiometry = 0.549 eV/atom
spin magnetization = 3.66 μB/f.u.
calculated volume = 190.1 Å³/cell
space group = No. 122

abc: 8.185 8.185 6.446
angles: 50.59 50.59 90.00
Each line ends with the local moment (μB).
Sites, in units of the cell vectors:
Mo 0.000 0.000 0.000  2.70
Ni 0.500 0.500 0.000  0.35
Ca 0.561 0.125 0.250  0.01
Ca 0.189 0.625 0.250  0.01
Ca 0.375 0.439 0.750  0.01
Mo 0.750 0.250 0.500  2.70
Ca 0.875 0.811 0.750  0.01
Ni 0.250 0.750 0.500  0.34

***

Number 1 is which compound? CaNi3Mo